Compound: PmBeAlAu
Source: Alexandria
Functional: GGA-PBE
Structure: optimized geometry

Cell lengths 6.7265, 6.7265, 6.7265 Å; angles 90.00, 90.00, 90.00 degrees
Closest atoms and distances in Å follow each position.
Atoms (fractional coordinates):
Pm 0.0000 0.0000 0.0000  4 Be 2.91, 4 Au 2.91
Pm 0.0000 0.5000 0.5000  4 Be 2.91, 4 Au 2.91
Pm 0.5000 0.0000 0.5000  4 Be 2.91, 4 Au 2.91
Pm 0.5000 0.5000 0.0000  4 Be 2.91, 4 Au 2.91
Be 0.2500 0.2500 0.7500  4 Pm 2.91, 4 Al 2.91
Be 0.2500 0.7500 0.2500  4 Pm 2.91, 4 Al 2.91
Be 0.7500 0.2500 0.2500  4 Pm 2.91, 4 Al 2.91
Be 0.7500 0.7500 0.7500  4 Pm 2.91, 4 Al 2.91
Al 0.0000 0.0000 0.5000  4 Be 2.91, 4 Au 2.91
Al 0.0000 0.5000 0.0000  4 Be 2.91, 4 Au 2.91
Al 0.5000 0.0000 0.0000  4 Be 2.91, 4 Au 2.91
Al 0.5000 0.5000 0.5000  4 Be 2.91, 4 Au 2.91
Au 0.2500 0.2500 0.2500  4 Pm 2.91, 4 Al 2.91
Au 0.2500 0.7500 0.7500  4 Pm 2.91, 4 Al 2.91
Au 0.7500 0.2500 0.7500  4 Pm 2.91, 4 Al 2.91
Au 0.7500 0.7500 0.2500  4 Pm 2.91, 4 Al 2.91

space-group type	F-43m
DFT total energy	-4.14	eV/atom
energy relative to the elements	-0.270	eV/atom
total magnetization	0.00	μB/cell


Compound: Pr2BeAl3Au4
Source: Alexandria
Functional: GGA-PBE
Structure: optimized geometry

Cell lengths 4.4235, 4.4235, 10.2746 Å; angles 90.00, 90.00, 90.00 degrees
Closest atoms and distances in Å follow each position.
Atoms (fractional coordinates):
Pr 0.0000 0.5000 0.2426  2 Be 3.33, 6 Al 3.33-3.37, 9 Au 3.37-3.73
Pr 0.5000 0.0000 0.7574  2 Be 3.33, 6 Al 3.33-3.37, 9 Au 3.37-3.73
Be 0.5000 0.5000 0.0000  4 Au 2.53
Al 0.0000 0.0000 0.0000  4 Au 2.53
Al 0.0000 0.5000 0.6349  5 Au 2.52-2.61
Al 0.5000 0.0000 0.3651  5 Au 2.52-2.61
Au 0.0000 0.0000 0.5000  4 Al 2.61
Au 0.0000 0.5000 0.8800  3 Al 2.52-2.53, 2 Be 2.53
Au 0.5000 0.0000 0.1200  3 Al 2.52-2.53, 2 Be 2.53
Au 0.5000 0.5000 0.5000  4 Al 2.61

space-group type	P-4m2
DFT total energy	-4.41	eV/atom
energy relative to the elements	-0.648	eV/atom
total magnetization	0.00	μB/cell


Compound: Pr2BeAl4Au3
Source: Alexandria
Functional: GGA-PBE
Structure: optimized geometry

Cell lengths 4.3656, 4.3656, 10.5254 Å; angles 90.00, 90.00, 90.00 degrees
Closest atoms and distances in Å follow each position.
Atoms (fractional coordinates):
Pr 0.0000 0.5000 0.2409  8 Al 3.32-3.49, 2 Be 3.35, 6 Au 3.35-3.36
Pr 0.5000 0.0000 0.7591  8 Al 3.32-3.49, 2 Be 3.35, 6 Au 3.35-3.36
Be 0.5000 0.5000 0.0000  4 Al 2.55
Al 0.0000 0.0000 0.5000  4 Au 2.59
Al 0.0000 0.5000 0.8747  3 Au 2.54-2.55, 2 Be 2.55
Al 0.5000 0.0000 0.1253  3 Au 2.54-2.55, 2 Be 2.55
Al 0.5000 0.5000 0.5000  4 Au 2.59
Au 0.0000 0.0000 0.0000  4 Al 2.55
Au 0.0000 0.5000 0.6333  5 Al 2.54-2.59
Au 0.5000 0.0000 0.3667  5 Al 2.54-2.59

space-group type	P-4m2
DFT total energy	-4.42	eV/atom
energy relative to the elements	-0.614	eV/atom
total magnetization	0.00	μB/cell


Compound: Pr2BeAlAu6
Source: Alexandria
Functional: GGA-PBE
Structure: optimized geometry

Cell lengths 6.4689, 6.4737, 6.9021 Å; angles 62.04, 63.61, 60.13 degrees
Closest atoms and distances in Å follow each position.
Atoms (fractional coordinates):
Pr 0.2276 0.2164 0.3388  11 Au 3.25-3.61
Pr 0.7724 0.7836 0.6612  11 Au 3.25-3.61
Be 0.0000 0.0000 0.0000  6 Au 2.29
Al 0.5000 0.5000 0.5000  6 Au 2.54-2.55
Au 0.2251 0.2558 0.8060  1 Be 2.29, 1 Al 2.54
Au 0.2253 0.7185 0.8007  1 Be 2.29, 1 Al 2.54
Au 0.3307 0.7562 0.1524  1 Be 2.29, 1 Al 2.55
Au 0.6693 0.2438 0.8476  1 Be 2.29, 1 Al 2.55
Au 0.7747 0.2815 0.1993  1 Be 2.29, 1 Al 2.54
Au 0.7749 0.7442 0.1940  1 Be 2.29, 1 Al 2.54

space-group type	P-1
DFT total energy	-4.20	eV/atom
energy relative to the elements	-0.527	eV/atom
total magnetization	0.00	μB/cell


Compound: PrBeAl2Au4
Source: Alexandria
Functional: GGA-PBE
Structure: optimized geometry

Cell lengths 9.3059, 9.3059, 9.3059 Å; angles 27.26, 27.26, 27.26 degrees
Closest atoms and distances in Å follow each position.
Atoms (fractional coordinates):
Pr 0.0000 0.0000 0.0000  6 Au 3.17
Be 0.5000 0.5000 0.5000  8 Au 2.57-2.64
Al 0.2408 0.2408 0.2408  7 Au 2.60-2.82
Al 0.7592 0.7592 0.7592  7 Au 2.60-2.82
Au 0.1389 0.1389 0.1389  3 Be 2.64, 4 Al 2.74-2.82, 3 Au 2.94
Au 0.4042 0.4042 0.4042  1 Be 2.57, 3 Al 2.60
Au 0.5958 0.5958 0.5958  1 Be 2.57, 3 Al 2.60
Au 0.8611 0.8611 0.8611  3 Be 2.64, 4 Al 2.74-2.82, 3 Au 2.94

space-group type	R-3m
DFT total energy	-4.12	eV/atom
energy relative to the elements	-0.487	eV/atom
total magnetization	0.00	μB/cell


Compound: PrBe2AlAu4
Source: Alexandria
Functional: GGA-PBE
Structure: optimized geometry

Cell lengths 9.5232, 9.5232, 9.5232 Å; angles 25.77, 25.77, 25.77 degrees
Closest atoms and distances in Å follow each position.
Atoms (fractional coordinates):
Pr 0.0000 0.0000 0.0000  6 Au 3.12
Be 0.2400 0.2400 0.2400  6 Au 2.54-2.65
Be 0.7600 0.7600 0.7600  6 Au 2.54-2.65
Al 0.5000 0.5000 0.5000  8 Au 2.65-2.68
Au 0.1300 0.1300 0.1300  3 Be 2.65, 3 Al 2.65, 3 Au 2.96
Au 0.4031 0.4031 0.4031  3 Be 2.54, 1 Al 2.68
Au 0.5969 0.5969 0.5969  3 Be 2.54, 1 Al 2.68
Au 0.8700 0.8700 0.8700  3 Be 2.65, 3 Al 2.65, 3 Au 2.96

space-group type	R-3m
DFT total energy	-3.97	eV/atom
energy relative to the elements	-0.333	eV/atom
total magnetization	0.00	μB/cell


Compound: BeAlPtAu
Source: Alexandria
Functional: GGA-PBE
Structure: optimized geometry

Cell lengths 6.0821, 6.0821, 6.0821 Å; angles 90.00, 90.00, 90.00 degrees
Closest atoms and distances in Å follow each position.
Atoms (fractional coordinates):
Be 0.0000 0.0000 0.0000  4 Pt 2.63, 4 Au 2.63
Be 0.0000 0.5000 0.5000  4 Pt 2.63, 4 Au 2.63
Be 0.5000 0.0000 0.5000  4 Pt 2.63, 4 Au 2.63
Be 0.5000 0.5000 0.0000  4 Pt 2.63, 4 Au 2.63
Al 0.0000 0.0000 0.5000  4 Au 2.63, 4 Pt 2.63
Al 0.0000 0.5000 0.0000  4 Au 2.63, 4 Pt 2.63
Al 0.5000 0.0000 0.0000  4 Au 2.63, 4 Pt 2.63
Al 0.5000 0.5000 0.5000  4 Pt 2.63, 4 Au 2.63
Pt 0.2500 0.2500 0.2500  4 Be 2.63, 4 Al 2.63
Pt 0.2500 0.7500 0.7500  4 Be 2.63, 4 Al 2.63
Pt 0.7500 0.2500 0.7500  4 Be 2.63, 4 Al 2.63
Pt 0.7500 0.7500 0.2500  4 Be 2.63, 4 Al 2.63
Au 0.2500 0.2500 0.7500  4 Be 2.63, 4 Al 2.63
Au 0.2500 0.7500 0.2500  4 Be 2.63, 4 Al 2.63
Au 0.7500 0.2500 0.2500  4 Be 2.63, 4 Al 2.63
Au 0.7500 0.7500 0.7500  4 Al 2.63, 4 Be 2.63

space-group type	F-43m
DFT total energy	-4.68	eV/atom
energy relative to the elements	-0.481	eV/atom
total magnetization	0.00	μB/cell


Compound: Pu2BeAlAu6
Source: Alexandria
Functional: GGA-PBE
Structure: optimized geometry

Cell lengths 6.3157, 6.3601, 7.0369 Å; angles 90.58, 116.45, 119.65 degrees
Closest atoms and distances in Å follow each position.
Atoms (fractional coordinates):
Pu 0.0735 0.2921 0.3598  11 Au 3.30-3.68
Pu 0.9265 0.7079 0.6402  11 Au 3.30-3.68
Be 0.5000 0.5000 0.0000  6 Au 2.26-2.27
Al 0.5000 0.0000 0.5000  6 Au 2.54-2.55
Au 0.0182 0.2482 0.8156  1 Be 2.26
Au 0.4362 0.7438 0.1754  1 Be 2.26
Au 0.4505 0.2117 0.1930  1 Be 2.27, 1 Al 2.54
Au 0.5495 0.7883 0.8070  1 Be 2.27, 1 Al 2.54
Au 0.5638 0.2562 0.8246  1 Be 2.26
Au 0.9818 0.7518 0.1844  1 Be 2.26

space-group type	P-1
DFT total energy	-5.88	eV/atom
energy relative to the elements	-0.298	eV/atom
total magnetization	11.59	μB/cell


Compound: PuBe2AlAu4
Source: Alexandria
Functional: GGA-PBE
Structure: optimized geometry

Cell lengths 9.5385, 9.5385, 9.5385 Å; angles 25.45, 25.45, 25.45 degrees
Closest atoms and distances in Å follow each position.
Atoms (fractional coordinates):
Pu 0.0000 0.0000 0.0000  6 Au 3.07
Be 0.2429 0.2429 0.2429  6 Au 2.51-2.63
Be 0.7571 0.7571 0.7571  6 Au 2.51-2.63
Al 0.5000 0.5000 0.5000  8 Au 2.66-2.73
Au 0.1273 0.1273 0.1273  3 Be 2.63, 3 Al 2.66, 3 Au 2.93
Au 0.4013 0.4013 0.4013  3 Be 2.51, 1 Al 2.73
Au 0.5987 0.5987 0.5987  3 Be 2.51, 1 Al 2.73
Au 0.8727 0.8727 0.8727  3 Be 2.63, 3 Al 2.66, 3 Au 2.93

space-group type	R-3m
DFT total energy	-5.03	eV/atom
energy relative to the elements	-0.197	eV/atom
total magnetization	5.61	μB/cell


Compound: Pu2BeAl3Au4
Source: Alexandria
Functional: GGA-PBE
Structure: optimized geometry

Cell lengths 4.3484, 4.3484, 10.3872 Å; angles 90.00, 90.00, 90.00 degrees
Closest atoms and distances in Å follow each position.
Atoms (fractional coordinates):
Pu 0.0000 0.5000 0.2411  8 Au 3.32-3.46, 2 Be 3.32, 6 Al 3.32
Pu 0.5000 0.0000 0.7589  8 Au 3.32-3.46, 2 Be 3.32, 6 Al 3.32
Be 0.5000 0.5000 0.0000  4 Au 2.52
Al 0.0000 0.0000 0.0000  4 Au 2.52
Al 0.0000 0.5000 0.6374  5 Au 2.50-2.60
Al 0.5000 0.0000 0.3626  5 Au 2.50-2.60
Au 0.0000 0.0000 0.5000  4 Al 2.60
Au 0.0000 0.5000 0.8782  3 Al 2.50-2.52, 2 Be 2.52
Au 0.5000 0.0000 0.1218  3 Al 2.50-2.52, 2 Be 2.52
Au 0.5000 0.5000 0.5000  4 Al 2.60

space-group type	P-4m2
DFT total energy	-6.08	eV/atom
energy relative to the elements	-0.409	eV/atom
total magnetization	11.19	μB/cell


Compound: PuBeAlAu6
Source: Alexandria
Functional: GGA-PBE
Structure: optimized geometry

Cell lengths 8.7033, 8.7033, 8.7033 Å; angles 141.26, 121.25, 72.62 degrees
Closest atoms and distances in Å follow each position.
Atoms (fractional coordinates):
Pu 0.4904 0.2404 0.2500  2 Pu 2.90, 5 Au 2.98-3.15
Pu 0.5096 0.7596 0.7500  2 Pu 2.90, 5 Au 2.98-3.15
Be 0.0000 0.5000 0.5000  6 Au 2.23-2.35
Be 0.5000 0.5000 0.0000  6 Au 2.23-2.35
Al 0.0000 0.0000 0.5000  4 Au 2.56
Al 0.0000 0.5000 0.0000  4 Au 2.56
Au 0.1036 0.3723 0.2176  1 Be 2.35, 1 Al 2.56
Au 0.1036 0.8860 0.7313  1 Be 2.35, 1 Al 2.56
Au 0.2584 0.0084 0.2500  10 Au 2.94-3.22, 1 Pu 3.25
Au 0.2968 0.5468 0.7500  2 Be 2.23
Au 0.3452 0.1140 0.7176  1 Be 2.35, 1 Al 2.56
Au 0.3452 0.6277 0.2313  1 Be 2.35, 1 Al 2.56
Au 0.6548 0.3723 0.7687  1 Be 2.35, 1 Al 2.56
Au 0.6548 0.8860 0.2824  1 Be 2.35, 1 Al 2.56
Au 0.7032 0.4532 0.2500  2 Be 2.23
Au 0.7416 0.9916 0.7500  10 Au 2.94-3.22, 1 Pu 3.25
Au 0.8964 0.1140 0.2687  1 Be 2.35, 1 Al 2.56
Au 0.8964 0.6277 0.7824  1 Be 2.35, 1 Al 2.56

space-group type	Imma
DFT total energy	-4.70	eV/atom
energy relative to the elements	-0.095	eV/atom
total magnetization	11.80	μB/cell


Compound: PuBe2AlAu5
Source: Alexandria
Functional: GGA-PBE
Structure: optimized geometry

Cell lengths 4.3533, 4.3533, 9.1190 Å; angles 90.00, 90.00, 90.00 degrees
Closest atoms and distances in Å follow each position.
Atoms (fractional coordinates):
Pu 0.0000 0.0000 0.0000  4 Au 3.08
Be 0.5000 0.5000 0.2450  5 Au 2.23-2.32
Be 0.5000 0.5000 0.7550  5 Au 2.23-2.32
Al 0.0000 0.0000 0.5000  8 Au 2.66
Au 0.0000 0.5000 0.3317  2 Be 2.32
Au 0.0000 0.5000 0.6683  2 Be 2.32
Au 0.5000 0.0000 0.3317  2 Be 2.32
Au 0.5000 0.0000 0.6683  2 Be 2.32
Au 0.5000 0.5000 0.0000  2 Be 2.23

space-group type	P4/mmm
DFT total energy	-4.82	eV/atom
energy relative to the elements	-0.163	eV/atom
total magnetization	5.79	μB/cell